SiMoBr2: relaxed, GGA-PBE.

abc: 3.4257 6.1720 7.0001
angles: 44.18 90.00 90.00
With the nearest neighbours (Å) after each atom.
Atoms (fractional coordinates):
1 Br 0.0000 0.9536 0.0069  2 Mo 2.56-2.60
2 Br 0.5000 0.2617 0.3892  1 Si 2.36
3 Mo 0.0000 0.5214 0.5403  2 Si 2.35, 2 Br 2.56-2.60
4 Si 0.5000 0.7633 0.5636  2 Mo 2.35, 1 Br 2.36

Calculated values
size of the total moment	0.741	μB/cell
crystal system	monoclinic
E above lowest polymorph	67	kJ/mol of formula units
Fermi-level density of states	1.27	states/eV/f.u.
uncorrected formation energy	158.0	meV per atom